Below is an optimized crystal structure of Ce2ThSi2Os, with properties calculated at the PBE level.

The space group is I4/mmm (No. 139) and the conventional cell measures 5.594, 5.594 and 10.194 Å, with angles of 90.00, 90.00 and 90.00 degrees. The inequivalent atoms are Ce at (0.000, 0.500, 0.250), Th at (0.000, 0.000, 0.000), Si at (0.000, 0.000, 0.276) and Os at (0.000, 0.000, 0.500).

The value obtained for the uncorrected formation energy is 0.1302 eV/atom.